[1]
Compound: Y5Ni2Te
Source: the Alexandria database
Functional: GGA-PBE
Structure: optimized geometry

Computed properties:
For the energy, the calculation gives -6.441 eV per atom. For the mass density, the calculation gives 5.79 g/cm³. The energy relative to the elements, uncorrected comes out at -0.56 eV/atom.

Cell: 7.6913 7.6913 8.6207 Å, 116.49 116.49 90.00°
Positions (direct):
Y 0.5000 0.5000 0.0000
Y 0.4812 0.2914 0.2726
Y 0.7914 0.9812 0.2726
Y 0.0188 0.5188 0.7274
Y 0.0000 0.0000 0.0000
Y 0.2914 0.7914 0.2726
Y 0.9812 0.4812 0.2726
Y 0.5188 0.7086 0.7274
Y 0.2086 0.0188 0.7274
Y 0.7086 0.2086 0.7274
Ni 0.3665 0.8665 0.0000
Ni 0.6335 0.1335 0.0000
Ni 0.8665 0.6335 0.0000
Ni 0.1335 0.3665 0.0000
Te 0.7500 0.7500 0.5000
Te 0.2500 0.2500 0.5000

=====

[2]
Compound: ZnCrIn2
Source: the Alexandria database
Functional: GGA-PBE
Structure: optimized geometry

Computed properties:
For the energy, the calculation gives -3.788 eV per atom. As for the formation energy from the elements: 0.3056 eV/atom. For the mass density, the calculation gives 7.19 g/cm³.

Cell: 3.1146 3.1146 8.2658 Å, 90.00 90.00 90.01°
Site moments in Bohr magnetons follow the coordinates.
Positions (direct):
In 0.0000 0.0000 0.5073  -0.02
In 0.0000 0.0000 0.9927  -0.02
Zn 0.5000 0.5000 0.2500  0.03
Cr 0.5000 0.5000 0.7500  3.54

=====

[3]
Compound: La2TbPr2Ho
Source: the Alexandria database
Functional: GGA-PBE
Structure: optimized geometry

Computed properties:
For the energy, the calculation gives -4.718 eV per atom. As for the formation energy from the elements: 0.0524 eV/atom. For the mass density, the calculation gives 7.05 g/cm³.

Cell: 5.7918 7.1537 10.0485 Å, 90.00 90.00 90.00°
Positions (direct):
Pr 0.5000 0.2577 0.3319
Pr 0.0000 0.2574 0.8352
Pr 0.0000 0.7574 0.1648
Pr 0.5000 0.7577 0.6681
La 0.5000 0.5077 0.9994
La 0.0000 0.7580 0.8241
La 0.0000 0.2580 0.1759
La 0.5000 0.0077 0.0006
Tb 0.0000 0.5075 0.5002
Tb 0.0000 0.0075 0.4998
Ho 0.5000 0.7573 0.3416
Ho 0.5000 0.2573 0.6584